# InSn3Au3

Crystalline InSn3Au3 at its relaxed geometry (PBE-GGA, Alexandria).

Computed properties:
- energy relative to the lowest polymorph listed for this composition (meV per atom) = 226.0
- calculated total energy (eV per atom) = -3.394
- formation energy (meV/atom) = 117

Cell and atoms, written as CIF:
```
data_InSn3Au3
_chemical_formula_sum 'In2 Sn6 Au6'
_symmetry_space_group_name_H-M 'P m -3 n'
_symmetry_Int_Tables_number 223
_symmetry_space_group_name_Hall '-P 4n 2 3'
_cell_length_a 7.6704
_cell_length_b 7.6704
_cell_length_c 7.6704
_cell_angle_alpha 90.00
_cell_angle_beta 90.00
_cell_angle_gamma 90.00
loop_
_atom_site_label
_atom_site_fract_x
_atom_site_fract_y
_atom_site_fract_z
In1 0.0000 0.0000 0.0000
Sn1 0.0000 0.2500 0.5000
Au1 0.0000 0.5000 0.2500
```

=====

# InSn8Au6

Crystalline InSn8Au6 at its relaxed geometry (PBE-GGA, Alexandria).

Computed properties:
- calculated total energy (eV per atom) = -3.702
- formation energy (meV/atom) = -73

Cell and atoms, written as CIF:
```
data_InSn8Au6
_chemical_formula_sum 'In1 Sn8 Au6'
_symmetry_space_group_name_H-M 'P -3'
_symmetry_Int_Tables_number 147
_symmetry_space_group_name_Hall '-P 3'
_cell_length_a 9.7514
_cell_length_b 9.7514
_cell_length_c 4.4807
_cell_angle_alpha 90.00
_cell_angle_beta 90.00
_cell_angle_gamma 120.00
loop_
_atom_site_label
_atom_site_fract_x
_atom_site_fract_y
_atom_site_fract_z
In1 0.0000 0.0000 0.0000
Sn1 0.0428 0.3071 0.2751
Sn2 0.3333 0.6667 0.7345
Au1 0.0954 0.6237 0.2289
```